Entry 1:
Below is a relaxed structure of PuPaGe4, with properties calculated at the PBE-GGA level.

Computed properties:
Size of the total moment   5.69 μB/f.u.
Mass density   10.73 g cm⁻³
Electronic total energy   -7.2826 eV/atom
DOS at the Fermi energy   4.63 states/eV per cell

Unit cell a=5.513 b=5.513 c=5.513 alpha=60.00 beta=60.00 gamma=60.00
Last column: magnetic moment on the atom in μB.
Positions (direct):
Ge (0.625, 0.625, 0.124)  -0.05
Ge (0.625, 0.124, 0.625)  -0.05
Ge (0.625, 0.625, 0.625)  -0.05
Ge (0.124, 0.625, 0.625)  -0.05
Pa (0.250, 0.250, 0.250)  0.30
Pu (0.000, 0.000, 0.000)  5.30



Entry 2:
Below is a relaxed structure of Pu5PaGe5, with properties calculated at the PBE-GGA level.

Computed properties:
Size of the total moment   6.66 μB/f.u.
Mass density   11.63 g cm⁻³
Electronic total energy   -9.6724 eV/atom
DOS at the Fermi energy   32.77 states/eV per cell

Unit cell a=5.607 b=8.359 c=5.891 alpha=94.65 beta=90.00 gamma=109.59
Last column: magnetic moment on the atom in μB.
Positions (direct):
Pu (0.640, 0.280, 0.423)  5.14
Pu (0.682, 0.363, 0.957)  -5.07
Pu (0.000, 0.000, 0.500)  -5.44
Pu (0.318, 0.637, 0.043)  -5.07
Pu (0.360, 0.720, 0.577)  5.14
Pa (0.000, 0.000, 0.000)  -1.08
Ge (0.830, 0.661, 0.281)  0.03
Ge (0.833, 0.666, 0.724)  0.02
Ge (0.500, 0.000, 0.000)  0.02
Ge (0.167, 0.334, 0.276)  0.02
Ge (0.170, 0.339, 0.719)  0.03



Entry 3:
Below is a relaxed structure of Pu3PaGe3, with properties calculated at the PBE-GGA level.

Computed properties:
Size of the total moment   5.55 μB/f.u.
Mass density   13.13 g cm⁻³
Electronic total energy   -9.7941 eV/atom
DOS at the Fermi energy   27.68 states/eV per cell

Unit cell a=6.046 b=6.046 c=8.253 alpha=92.83 beta=92.83 gamma=96.85
Last column: magnetic moment on the atom in μB.
Positions (direct):
Pu (0.570, 0.570, 0.228)  -3.66
Pu (0.250, 0.750, 0.500)  -5.33
Pu (0.750, 0.250, 0.500)  -5.33
Pu (0.328, 0.672, 0.000)  3.87
Pu (0.672, 0.328, 0.000)  3.87
Pu (0.430, 0.430, 0.772)  -3.66
Pa (0.879, 0.879, 0.168)  -0.27
Pa (0.121, 0.121, 0.832)  -0.27
Ge (0.763, 0.763, 0.535)  0.04
Ge (0.049, 0.408, 0.219)  0.01
Ge (0.408, 0.049, 0.219)  0.01
Ge (0.951, 0.592, 0.781)  0.01
Ge (0.592, 0.951, 0.781)  0.01
Ge (0.237, 0.237, 0.465)  0.04



Entry 4:
Below is a relaxed structure of Pu6PaGe4, with properties calculated at the PBE-GGA level.

Computed properties:
Size of the total moment   1.26 μB/f.u.
Mass density   12.97 g cm⁻³
Electronic total energy   -10.5717 eV/atom
DOS at the Fermi energy   33.17 states/eV per cell

Unit cell a=3.183 b=9.603 c=9.603 alpha=120.00 beta=90.00 gamma=90.00
Last column: magnetic moment on the atom in μB.
Positions (direct):
Pu (0.000, 0.522, 0.044)  5.23
Pu (0.500, 0.631, 0.816)  -5.20
Pu (0.000, 0.522, 0.478)  5.23
Pu (0.000, 0.956, 0.478)  5.23
Pu (0.500, 0.184, 0.816)  -5.20
Pu (0.500, 0.184, 0.369)  -5.20
Pa (0.000, 0.000, 0.000)  -1.05
Ge (0.500, 0.835, 0.670)  -0.02
Ge (0.500, 0.330, 0.165)  -0.02
Ge (0.500, 0.835, 0.165)  -0.02
Ge (0.000, 0.333, 0.667)  0.02



Entry 5:
Below is a relaxed structure of Pu5PaGe6, with properties calculated at the PBE-GGA level.

Computed properties:
Size of the total moment   6.23 μB/f.u.
Mass density   12.19 g cm⁻³
Electronic total energy   -9.4906 eV/atom
DOS at the Fermi energy   36.85 states/eV per cell

Unit cell a=5.438 b=5.800 c=8.592 alpha=90.00 beta=71.55 gamma=90.00
Last column: magnetic moment on the atom in μB.
Positions (direct):
Ge (0.834, 0.751, 0.333)  -0.02
Ge (0.834, 0.249, 0.333)  -0.02
Ge (0.500, 0.247, 0.000)  -0.04
Ge (0.500, 0.753, 0.000)  -0.04
Ge (0.166, 0.751, 0.667)  -0.02
Ge (0.166, 0.249, 0.667)  -0.02
Pa (0.000, 0.000, 0.000)  0.90
Pu (0.667, 0.500, 0.665)  -5.00
Pu (0.332, 0.000, 0.336)  4.99
Pu (0.000, 0.500, 0.000)  5.29
Pu (0.668, 0.000, 0.664)  4.99
Pu (0.333, 0.500, 0.335)  -5.00



Entry 6:
Below is a relaxed structure of PuPa3Ge2, with properties calculated at the PBE-GGA level.

Computed properties:
Energy above the lowest structure with this stoichiometry   0.00 kJ/mol of atoms
Size of the total moment   6.46 μB/f.u.
Mass density   12.75 g cm⁻³
Electronic total energy   -8.9513 eV/atom
DOS at the Fermi energy   12.89 states/eV per cell

Unit cell a=4.223 b=4.223 c=7.905 alpha=90.00 beta=90.00 gamma=90.00
Last column: magnetic moment on the atom in μB.
Positions (direct):
Pu (0.500, 0.500, 0.000)  5.04
Pa (0.500, 0.000, 0.348)  0.31
Pa (0.000, 0.500, 0.652)  0.31
Pa (0.000, 0.000, 0.000)  0.54
Ge (0.500, 0.000, 0.719)  -0.03
Ge (0.000, 0.500, 0.281)  -0.03



Entry 7:
Below is a relaxed structure of PuPaGe2, with properties calculated at the PBE-GGA level.

Computed properties:
Energy above the lowest structure with this stoichiometry   11.20 kJ/mol of atoms
Size of the total moment   5.17 μB/f.u.
Mass density   11.19 g cm⁻³
Electronic total energy   -8.6183 eV/atom
DOS at the Fermi energy   7.42 states/eV per cell

Unit cell a=4.704 b=4.704 c=5.517 alpha=64.77 beta=64.77 gamma=60.00
Last column: magnetic moment on the atom in μB.
Positions (direct):
Ge (0.751, 0.751, 0.747)  -0.09
Ge (0.249, 0.249, 0.253)  -0.09
Pa (0.500, 0.500, 0.500)  -0.02
Pu (0.000, 0.000, 0.000)  5.12



Entry 8:
Below is a relaxed structure of Pu2PaGe4, with properties calculated at the PBE-GGA level.

Computed properties:
Size of the total moment   11.30 μB/f.u.
Mass density   9.20 g cm⁻³
Electronic total energy   -8.1418 eV/atom
DOS at the Fermi energy   16.84 states/eV per cell

Unit cell a=5.650 b=5.677 c=6.349 alpha=116.56 beta=90.00 gamma=90.00
Last column: magnetic moment on the atom in μB.
Positions (direct):
Pu (0.500, 0.141, 0.282)  -5.40
Pu (0.500, 0.859, 0.718)  -5.40
Pa (0.000, 0.500, 0.000)  0.11
Ge (0.500, 0.606, 0.212)  0.01
Ge (0.000, 0.889, 0.778)  0.01
Ge (0.500, 0.394, 0.788)  0.01
Ge (0.000, 0.111, 0.222)  0.01



Entry 9:
Below is a relaxed structure of Pu4PaGe5, with properties calculated at the PBE-GGA level.

Computed properties:
Size of the total moment   22.54 μB/f.u.
Mass density   11.97 g cm⁻³
Electronic total energy   -9.4184 eV/atom
DOS at the Fermi energy   26.44 states/eV per cell

Unit cell a=3.244 b=3.244 c=20.696 alpha=90.00 beta=90.00 gamma=90.00
Last column: magnetic moment on the atom in μB.
Positions (direct):
Pu (0.000, 0.000, 0.199)  5.39
Pu (0.000, 0.000, 0.399)  5.38
Pu (0.000, 0.000, 0.601)  5.38
Pu (0.000, 0.000, 0.801)  5.39
Pa (0.000, 0.000, 0.000)  0.20
Ge (0.500, 0.500, 0.099)  -0.04
Ge (0.500, 0.500, 0.299)  -0.08
Ge (0.500, 0.500, 0.500)  -0.07
Ge (0.500, 0.500, 0.701)  -0.08
Ge (0.500, 0.500, 0.901)  -0.04



Entry 10:
Below is a relaxed structure of Pu6PaGe2, with properties calculated at the PBE-GGA level.

Computed properties:
Size of the total moment   32.44 μB/f.u.
Mass density   14.83 g cm⁻³
Electronic total energy   -11.6635 eV/atom
DOS at the Fermi energy   27.00 states/eV per cell

Unit cell a=3.166 b=8.668 c=8.668 alpha=120.00 beta=90.00 gamma=90.00
Last column: magnetic moment on the atom in μB.
Positions (direct):
Pu (0.500, 0.337, 0.337)  5.36
Pu (0.500, 0.663, 0.663)  5.36
Pu (0.500, 0.000, 0.663)  5.36
Pu (0.500, 0.663, 0.000)  5.36
Pu (0.500, 0.337, 0.000)  5.36
Pu (0.500, 0.000, 0.337)  5.36
Pa (0.000, 0.000, 0.000)  -0.17
Ge (0.000, 0.333, 0.667)  -0.12
Ge (0.000, 0.667, 0.333)  -0.12



Entry 11:
Below is a relaxed structure of PuPa2Ge2, with properties calculated at the PBE-GGA level.

Computed properties:
Size of the total moment   4.03 μB/f.u.
Mass density   13.08 g cm⁻³
Electronic total energy   -8.8093 eV/atom
DOS at the Fermi energy   17.03 states/eV per cell

Unit cell a=4.815 b=4.815 c=10.767 alpha=90.00 beta=90.00 gamma=120.00
Last column: magnetic moment on the atom in μB.
Positions (direct):
Pu (0.000, 0.000, 0.250)  4.04
Pu (0.000, 0.000, 0.750)  4.04
Pa (0.667, 0.333, 0.750)  0.16
Pa (0.000, 0.000, 0.000)  0.16
Pa (0.000, 0.000, 0.500)  0.16
Pa (0.333, 0.667, 0.250)  0.16
Ge (0.333, 0.667, 0.622)  -0.04
Ge (0.667, 0.333, 0.122)  -0.04
Ge (0.667, 0.333, 0.378)  -0.04
Ge (0.333, 0.667, 0.878)  -0.04



Entry 12:
Below is a relaxed structure of Pu6Pa4Ge7, with properties calculated at the PBE-GGA level.

Computed properties:
Size of the total moment   39.73 μB/f.u.
Mass density   12.30 g cm⁻³
Electronic total energy   -9.2476 eV/atom
DOS at the Fermi energy   41.17 states/eV per cell

Unit cell a=7.980 b=7.980 c=7.980 alpha=109.47 beta=109.47 gamma=109.47
Last column: magnetic moment on the atom in μB.
Positions (direct):
Pu (0.695, 0.000, 0.695)  5.33
Pu (0.695, 0.695, 0.000)  5.33
Pu (0.000, 0.305, 0.305)  5.33
Pu (0.305, 0.000, 0.305)  5.33
Pu (0.305, 0.305, 0.000)  5.33
Pu (0.000, 0.695, 0.695)  5.33
Pa (0.500, 0.000, 0.000)  1.19
Pa (0.500, 0.500, 0.500)  1.19
Pa (0.000, 0.500, 0.000)  1.19
Pa (0.000, 0.000, 0.500)  1.19
Ge (0.750, 0.500, 0.250)  -0.04
Ge (0.250, 0.750, 0.500)  -0.04
Ge (0.500, 0.750, 0.250)  -0.04
Ge (0.750, 0.250, 0.500)  -0.04
Ge (0.250, 0.500, 0.750)  -0.04
Ge (0.500, 0.250, 0.750)  -0.04
Ge (0.000, 0.000, 0.000)  -0.03